1.
Crystalline SrZrS2Cl at its relaxed geometry. Source: the Alexandria database, functional PBE-GGA.

Cell and atoms, written as POSCAR:
```
SrZrS2Cl
1.0
5.455 0.000 0.000
0.000 5.455 0.000
0.000 0.000 5.140
S Cl Sr Zr
2 1 1 1
direct
0.500 0.000 0.000
0.000 0.500 0.000
0.000 0.000 0.500
0.000 0.000 0.000
0.500 0.500 0.500
```

Calculated total energy in eV/atom: -4.240
Raw formation energy in eV per atom: -0.17
Energy above the most stable polymorph in this dataset in meV/atom: 1436
SG: P4/mmm
Size of the total moment in μB per formula unit: 1.03
V in A^3/atom: 30.60


2.
Crystalline Pr3Si2Ge2 at its relaxed geometry. Source: the Alexandria database, functional PBE-GGA.

Cell and atoms, written as POSCAR:
```
Pr3Si2Ge2
1.0
4.063 0.000 0.000
0.000 4.482 0.000
-2.031 -2.241 9.133
Pr Si Ge
3 2 2
direct
0.680 0.180 0.360
0.000 0.000 0.000
0.320 0.820 0.640
0.564 0.564 0.128
0.436 0.436 0.872
0.149 0.649 0.298
0.851 0.351 0.702
```

Calculated total energy in eV/atom: -5.664
Raw formation energy in eV per atom: -0.75
SG: Immm
Size of the total moment in μB per formula unit: 0.00
V in A^3/atom: 23.76


3.
Crystalline Ba2LiCd4 at its relaxed geometry. Source: the Alexandria database, functional PBE-GGA.

Cell and atoms, written as POSCAR:
```
Ba2LiCd4
1.0
5.202 0.000 0.000
0.000 5.202 0.000
2.601 2.601 8.851
Cd Ba Li
4 2 1
direct
0.147 0.147 0.706
0.853 0.853 0.294
0.500 0.000 0.000
0.000 0.500 0.000
0.646 0.646 0.709
0.354 0.354 0.291
0.000 0.000 0.000
```

Calculated total energy in eV/atom: -1.502
Formation enthalpy at 0 K in eV per atom: -0.157
SG: I4/mmm
Size of the total moment in μB per formula unit: 0.00
V in A^3/atom: 34.22


4.
Crystalline KTcAg2 at its relaxed geometry. Source: the Alexandria database, functional PBE-GGA.

Cell and atoms, written as POSCAR:
```
KTcAg2
1.0
-5.995 -1.413 1.777
-2.459 -5.917 -0.196
3.951 4.601 2.076
Ag Tc K
2 1 1
direct
0.002 0.002 0.000
0.774 0.274 0.500
0.221 0.721 0.500
0.503 0.503 0.000
```

Calculated total energy in eV/atom: -3.513
Formation enthalpy at 0 K in eV per atom: 0.779
Energy above the most stable polymorph in this dataset in meV/atom: 158
SG: Imm2
Size of the total moment in μB per formula unit: 0.95
V in A^3/atom: 20.89


Which value of size of the total moment does entry 1 give?
1.03 μB per formula unit


Which value of calculated total energy does entry 2 give?
-5.664 eV/atom